(1)
Entry from the Alexandria database: crystalline SrMoPt2 at its relaxed geometry (PBE).

Geometry as extended XYZ:
```
4
Lattice="1.4670 0.8470 9.8381 -1.4670 0.8470 9.8381 0.0000 -1.6940 9.8381" Properties=species:S:1:pos:R:3 pbc="T T T"
Sr 0.0000 0.0000 0.0000
Mo 0.0000 0.0000 14.7572
Pt 0.0000 0.0000 7.1305
Pt 0.0000 0.0000 22.3838
```

---

(2)
Entry from the Alexandria database: crystalline Cr2InRe at its relaxed geometry (PBE).

Geometry as extended XYZ:
```
4
Lattice="-1.5232 2.2055 4.3794 1.5232 -2.2055 4.3794 1.5232 2.2055 -4.3794" Properties=species:S:1:pos:R:3 pbc="T T T"
Cr 0.0000 0.0000 0.0000
Cr 0.0000 2.2055 2.4458
In 1.5232 0.0000 2.3206
Re 0.0000 0.0000 4.7205
```

---

(3)
Entry from the Alexandria database: crystalline Mn2CuRe at its relaxed geometry (PBE).

Geometry as extended XYZ:
```
8
Lattice="-3.2943 3.2943 2.5698 3.2943 -3.2943 2.5698 3.2943 3.2943 -2.5698" Properties=species:S:1:pos:R:3 pbc="T T T"
Mn 4.9414 1.5631 -0.6424
Mn 1.5631 1.6471 0.6424
Mn -1.6471 1.7312 1.9273
Mn 1.7312 1.6471 3.2122
Cu 3.2943 0.0000 1.2849
Cu 0.0000 0.0000 2.5698
Re 0.0000 0.0000 0.0000
Re 0.0000 3.2943 1.2849
```

---

Values for ΔE_f, kJ/mol of formula units, ordered as above
100; 137; 283
Values for volume, Å³/f.u., ordered as above
73.3; 58.8; 55.8
Values for theoretical density, Mg/m³, ordered as above
12.989; 11.429; 10.707